[1]
The following is a PBE calculation of crystalline K2RbCaAg at its relaxed geometry, from the Alexandria database.

Calculated density, kg/m3: 1868
Energy of formation, kJ per mole of atoms: 7.90
DFT total energy, eV per atom: -1.521

Lattice parameters (Å, degrees): 6.746 6.746 6.087 90.00 90.00 90.00
Positions (direct):
K1 0.000 0.500 0.000
K2 0.500 0.000 0.000
Rb1 0.000 0.000 0.500
Ca1 0.500 0.500 0.500
Ag1 0.500 0.500 0.000



[2]
The following is a PBE calculation of crystalline KCaAgSe2 at its relaxed geometry, from the Alexandria database.

Calculated density, kg/m3: 3520
Raw formation energy, meV/atom: -1105
DFT total energy, eV per atom: -3.689

Lattice parameters (Å, degrees): 8.466 8.466 5.755 90.00 90.00 127.90
Positions (direct):
K1 0.250 0.750 0.788
K2 0.750 0.250 0.212
Ca1 0.250 0.250 0.500
Ca2 0.750 0.750 0.500
Ag1 0.000 0.000 0.000
Ag2 0.500 0.500 0.000
Se1 0.121 0.879 0.288
Se2 0.379 0.621 0.288
Se3 0.621 0.379 0.712
Se4 0.879 0.121 0.712



[3]
The following is a PBE calculation of crystalline KSrCa2Ag at its relaxed geometry, from the Alexandria database.

Calculated density, kg/m3: 2292
Energy of formation, kJ per mole of atoms: 5.58
Relative energy among the computed polymorphs, eV/atom: 0.101
DFT total energy, eV per atom: -1.869

Lattice parameters (Å, degrees): 5.984 5.984 6.367 90.00 90.00 90.00
Positions (direct):
K1 0.000 0.000 0.000
Sr1 0.500 0.500 0.000
Ca1 0.000 0.500 0.500
Ca2 0.500 0.000 0.500
Ag1 0.000 0.000 0.500



[4]
The following is a PBE calculation of crystalline KSrCa2Ag at its relaxed geometry, from the Alexandria database.

Calculated density, kg/m3: 2295
Energy of formation, kJ per mole of atoms: -4.17
Relative energy among the computed polymorphs, eV/atom: 0.000
DFT total energy, eV per atom: -1.970

Lattice parameters (Å, degrees): 6.021 6.021 6.282 90.00 90.00 90.00
Positions (direct):
K1 0.000 0.000 0.000
Sr1 0.500 0.500 0.000
Ca1 0.000 0.500 0.500
Ca2 0.500 0.000 0.500
Ag1 0.500 0.500 0.500



[5]
The following is a PBE calculation of crystalline KCaAg2W at its relaxed geometry, from the Alexandria database.

Calculated density, kg/m3: 4683
Energy of formation, kJ per mole of atoms: 171.60
DFT total energy, eV per atom: -2.572

Lattice parameters (Å, degrees): 5.422 5.422 5.774 90.00 90.00 90.00
Positions (direct):
K1 0.000 0.000 0.000
Ca1 0.500 0.500 0.500
Ag1 0.000 0.500 0.000
Ag2 0.500 0.000 0.000
W1 0.000 0.000 0.500



[6]
The following is a PBE calculation of crystalline Ca2LaAg2 at its relaxed geometry, from the Alexandria database.

Calculated density, kg/m3: 5199
Energy of formation, kJ per mole of atoms: -10.45
Relative energy among the computed polymorphs, eV/atom: 0.117
DFT total energy, eV per atom: -3.035

Lattice parameters (Å, degrees): 8.986 8.986 3.439 90.00 90.00 90.00
Positions (direct):
Ca1 0.132 0.368 0.000
Ca2 0.368 0.868 0.000
Ca3 0.632 0.132 0.000
Ca4 0.868 0.632 0.000
La1 0.000 0.000 0.000
La2 0.500 0.500 0.000
Ag1 0.166 0.666 0.500
Ag2 0.334 0.166 0.500
Ag3 0.666 0.834 0.500
Ag4 0.834 0.334 0.500